Record 1
First-principles (PBE) data for a relaxed PrTm2Rh crystal, as listed in Alexandria.

```
data_PrTm2Rh
_chemical_formula_sum 'Pr2 Tm4 Rh2'
_symmetry_space_group_name_H-M 'P 1'
_symmetry_Int_Tables_number 1
_cell_length_a 3.777
_cell_length_b 6.405
_cell_length_c 9.323
_cell_angle_alpha 90.00
_cell_angle_beta 90.00
_cell_angle_gamma 107.12
loop_
_symmetry_equiv_pos_as_xyz
'x,y,z'
loop_
_atom_site_label
_atom_site_type_symbol
_atom_site_fract_x
_atom_site_fract_y
_atom_site_fract_z
Pr1 Pr 0.930 0.859 0.250
Pr2 Pr 0.070 0.141 0.750
Tm1 Tm 0.358 0.716 0.568
Tm2 Tm 0.642 0.284 0.432
Tm3 Tm 0.358 0.716 0.932
Tm4 Tm 0.642 0.284 0.068
Rh1 Rh 0.759 0.518 0.750
Rh2 Rh 0.241 0.482 0.250
```

## Properties
* energy: -5.757 eV per atom
* volume: 215.57 Å³ per cell
* calculated formation energy: -0.488 eV per atom



Record 2
First-principles (PBE) data for a relaxed Ba3CaAc2Se6 crystal, as listed in Alexandria.

```
data_Ba3CaAc2Se6
_chemical_formula_sum 'Ba3 Ca1 Ac2 Se6'
_symmetry_space_group_name_H-M 'P 1'
_symmetry_Int_Tables_number 1
_cell_length_a 7.836
_cell_length_b 7.836
_cell_length_c 7.939
_cell_angle_alpha 99.49
_cell_angle_beta 99.49
_cell_angle_gamma 119.97
loop_
_symmetry_equiv_pos_as_xyz
'x,y,z'
loop_
_atom_site_label
_atom_site_type_symbol
_atom_site_fract_x
_atom_site_fract_y
_atom_site_fract_z
Ba1 Ba 0.168 0.832 0.500
Ba2 Ba 0.832 0.168 0.500
Ba3 Ba 0.500 0.500 0.500
Ca1 Ca 0.000 0.000 0.000
Ac1 Ac 0.334 0.666 0.000
Ac2 Ac 0.666 0.334 0.000
Se1 Se 0.924 0.599 0.772
Se2 Se 0.751 0.751 0.229
Se3 Se 0.076 0.401 0.228
Se4 Se 0.599 0.924 0.772
Se5 Se 0.249 0.249 0.771
Se6 Se 0.401 0.076 0.228
```

## Properties
* energy: -5.045 eV per atom
* volume: 398.75 Å³ per cell



Record 3
First-principles (PBE) data for a relaxed PtW3 crystal, as listed in Alexandria.

```
data_PtW3
_chemical_formula_sum 'Pt2 W6'
_symmetry_space_group_name_H-M 'P 1'
_symmetry_Int_Tables_number 1
_cell_length_a 5.494
_cell_length_b 5.494
_cell_length_c 4.612
_cell_angle_alpha 90.00
_cell_angle_beta 90.00
_cell_angle_gamma 90.18
loop_
_symmetry_equiv_pos_as_xyz
'x,y,z'
loop_
_atom_site_label
_atom_site_type_symbol
_atom_site_fract_x
_atom_site_fract_y
_atom_site_fract_z
Pt1 Pt 0.413 0.587 0.750
Pt2 Pt 0.587 0.413 0.250
W1 W 0.920 0.080 0.250
W2 W 0.080 0.920 0.750
W3 W 0.474 0.888 0.250
W4 W 0.526 0.112 0.750
W5 W 0.112 0.526 0.250
W6 W 0.888 0.474 0.750
```

## Properties
* energy: -10.714 eV per atom
* volume: 139.21 Å³ per cell
* calculated formation energy: 0.511 eV per atom



Record 4
First-principles (PBE) data for a relaxed BPIrAu crystal, as listed in Alexandria.

```
data_BPIrAu
_chemical_formula_sum 'B2 P2 Ir2 Au2'
_symmetry_space_group_name_H-M 'P 1'
_symmetry_Int_Tables_number 1
_cell_length_a 6.168
_cell_length_b 2.875
_cell_length_c 7.137
_cell_angle_alpha 90.00
_cell_angle_beta 96.28
_cell_angle_gamma 90.00
loop_
_symmetry_equiv_pos_as_xyz
'x,y,z'
loop_
_atom_site_label
_atom_site_type_symbol
_atom_site_fract_x
_atom_site_fract_y
_atom_site_fract_z
P1 P 0.677 0.000 0.917
P2 P 0.677 0.500 0.417
B1 B 0.363 0.000 0.470
B2 B 0.363 0.500 0.970
Ir1 Ir 0.469 0.000 0.196
Ir2 Ir 0.469 0.500 0.696
Au1 Au 0.064 0.000 0.977
Au2 Au 0.064 0.500 0.477
```

## Properties
* energy: -6.003 eV per atom
* volume: 125.80 Å³ per cell
* calculated formation energy: 0.054 eV per atom



Record 5
First-principles (PBE) data for a relaxed HfZr3Ti crystal, as listed in Alexandria.

```
data_HfZr3Ti
_chemical_formula_sum 'Hf1 Zr3 Ti1'
_symmetry_space_group_name_H-M 'P 1'
_symmetry_Int_Tables_number 1
_cell_length_a 4.947
_cell_length_b 4.947
_cell_length_c 4.947
_cell_angle_alpha 90.00
_cell_angle_beta 90.00
_cell_angle_gamma 90.00
loop_
_symmetry_equiv_pos_as_xyz
'x,y,z'
loop_
_atom_site_label
_atom_site_type_symbol
_atom_site_fract_x
_atom_site_fract_y
_atom_site_fract_z
Hf1 Hf 0.500 0.500 0.500
Zr1 Zr 0.000 0.500 0.000
Zr2 Zr 0.000 0.000 0.500
Zr3 Zr 0.500 0.000 0.000
Ti1 Ti 0.000 0.000 0.000
```

## Properties
* energy: -7.933 eV per atom
* volume: 121.10 Å³ per cell
* calculated formation energy: 0.765 eV per atom



Record 6
First-principles (PBE) data for a relaxed YInAg2 crystal, as listed in Alexandria.

```
data_YInAg2
_chemical_formula_sum 'Y1 In1 Ag2'
_symmetry_space_group_name_H-M 'P 1'
_symmetry_Int_Tables_number 1
_cell_length_a 4.920
_cell_length_b 3.378
_cell_length_c 5.642
_cell_angle_alpha 91.51
_cell_angle_beta 90.00
_cell_angle_gamma 90.00
loop_
_symmetry_equiv_pos_as_xyz
'x,y,z'
loop_
_atom_site_label
_atom_site_type_symbol
_atom_site_fract_x
_atom_site_fract_y
_atom_site_fract_z
Ag1 Ag 0.000 0.266 0.992
Ag2 Ag 0.500 0.253 0.251
In1 In 0.000 0.231 0.492
Y1 Y 0.500 0.750 0.765
```

## Properties
* energy: -3.922 eV per atom
* volume: 93.74 Å³ per cell
* calculated formation energy: -0.196 eV per atom